VASP calculation (SCAN) on LaTlBPb2 at its PBEsol-relaxed geometry.

The density of states at the Fermi level comes out at 3.1 states/eV per cell. The value obtained for the total energy is -53.396 eV per atom. For the spin magnetization, the calculation gives 0.00 μB/f.u.

It has space group P4/mmm (No. 123), with a = 5.987 Å, b = 5.987 Å, c = 6.002 Å, α = 90.00°, β = 90.00° and γ = 90.00°. The asymmetric unit holds La at (0.000, 0.000, 0.000), Tl at (0.000, 0.000, 0.500), B at (0.500, 0.500, 0.500) and Pb at (0.000, 0.500, 0.000).


VASP calculation (SCAN) on Cd4InCo at its PBEsol-relaxed geometry.

The density of states at the Fermi level comes out at 20.1 states/eV per cell. The value obtained for the total energy is -28.258 eV per atom. For the spin magnetization, the calculation gives 1.74 μB/f.u.

It has space group F-43m (No. 216), with a = 7.830 Å, b = 7.830 Å, c = 7.830 Å, α = 90.00°, β = 90.00° and γ = 90.00°. The asymmetric unit holds Cd at (0.124, 0.124, 0.376), In at (0.000, 0.000, 0.000) and Co at (0.250, 0.250, 0.750).


VASP calculation (SCAN) on TeMoRu at its PBEsol-relaxed geometry.

The density of states at the Fermi level comes out at 10.4 states/eV per cell. For the spin magnetization, the calculation gives 0.00 μB/f.u. Its formation energy without anion corrections is 0.343 eV per atom.

It has space group F-43m (No. 216), with a = 6.106 Å, b = 6.106 Å, c = 6.106 Å, α = 90.00°, β = 90.00° and γ = 90.00°. The asymmetric unit holds Te at (0.000, 0.000, 0.000), Mo at (0.250, 0.250, 0.750) and Ru at (0.000, 0.000, 0.500).


VASP calculation (SCAN) on TaMnRh2W at its PBEsol-relaxed geometry.

The density of states at the Fermi level comes out at 3.5 states/eV per cell. The value obtained for the total energy is -42.808 eV per atom. For the spin magnetization, the calculation gives 0.13 μB/f.u.

It has space group P4/mmm (No. 123), with a = 4.569 Å, b = 4.569 Å, c = 4.460 Å, α = 90.00°, β = 90.00° and γ = 90.00°. The asymmetric unit holds Ta at (0.000, 0.000, 0.000), Mn at (0.000, 0.000, 0.500), Rh at (0.000, 0.500, 0.000) and W at (0.500, 0.500, 0.500).


VASP calculation (SCAN) on RbNiHg3 at its PBEsol-relaxed geometry.

The density of states at the Fermi level comes out at 1.7 states/eV per cell. The value obtained for the total energy is -48.465 eV per atom. For the spin magnetization, the calculation gives 0.00 μB/f.u.

It has space group Pm-3m (No. 221), with a = 5.073 Å, b = 5.073 Å, c = 5.073 Å, α = 90.00°, β = 90.00° and γ = 90.00°. The asymmetric unit holds Rb at (0.000, 0.000, 0.000), Ni at (0.500, 0.500, 0.500) and Hg at (0.000, 0.500, 0.500).


VASP calculation (SCAN) on Be2CdMo at its PBEsol-relaxed geometry.

The density of states at the Fermi level comes out at 0.8 states/eV per cell. The value obtained for the total energy is -18.326 eV per atom. For the spin magnetization, the calculation gives 0.00 μB/f.u.

It has space group P4/mmm (No. 123), with a = 3.882 Å, b = 3.882 Å, c = 3.367 Å, α = 90.00°, β = 90.00° and γ = 90.00°. The asymmetric unit holds Be at (0.000, 0.500, 0.000), Cd at (0.000, 0.000, 0.500) and Mo at (0.500, 0.500, 0.500).


VASP calculation (SCAN) on CoCuOs2I at its PBEsol-relaxed geometry.

The density of states at the Fermi level comes out at 4.0 states/eV per cell. For the spin magnetization, the calculation gives 3.56 μB/f.u. Its formation energy without anion corrections is 2.586 eV per atom.

It has space group P4/mmm (No. 123), with a = 4.764 Å, b = 4.764 Å, c = 4.563 Å, α = 90.00°, β = 90.00° and γ = 90.00°. The asymmetric unit holds Co at (0.000, 0.000, 0.000), Cu at (0.500, 0.500, 0.000), Os at (0.000, 0.500, 0.500) and I at (0.500, 0.500, 0.500).


VASP calculation (SCAN) on CdHgP2 at its PBEsol-relaxed geometry.

The density of states at the Fermi level comes out at 1.6 states/eV per cell. For the spin magnetization, the calculation gives 0.00 μB/f.u. The calculation puts the relative energy among the computed polymorphs at 0.043 eV/atom.

It has space group P4/mmm (No. 123), with a = 3.838 Å, b = 3.838 Å, c = 5.295 Å, α = 90.00°, β = 90.00° and γ = 90.00°. The asymmetric unit holds Cd at (0.000, 0.000, 0.000), Hg at (0.500, 0.500, 0.000), P at (0.000, 0.000, 0.500) and P at (0.500, 0.500, 0.500).